[1]
Compound: PuH2Se
Source: the Alexandria database
Functional: GGA-PBE
Structure: relaxed

abc: 4.768 4.768 4.768
angles: 45.78 45.78 45.78
Fractional coordinates of all 4 atoms:
Pu (0.000, 0.000, 0.000)
H (0.299, 0.299, 0.299)
H (0.701, 0.701, 0.701)
Se (0.500, 0.500, 0.500)

Results
Its volume is 50.8 Å³ per cell. The value obtained for the size of the total moment is 4.03 μB per cell. The space-group type is R-3m. The calculation puts the total DFT energy (no corrections) at -27.0 eV per cell.

[2]
Compound: SiHgSe2N
Source: the Alexandria database
Functional: GGA-PBE
Structure: relaxed

abc: 5.342 5.342 3.267
angles: 90.00 90.00 90.00
Fractional coordinates of all 5 atoms:
Si (0.000, 0.000, 0.000)
Hg (0.500, 0.500, 0.500)
Se (0.000, 0.500, 0.000)
Se (0.500, 0.000, 0.000)
N (0.000, 0.000, 0.500)

Results
Its volume is 93.2 Å³ per cell. The value obtained for the energy above the lowest structure with this stoichiometry is 0.0 meV/atom. Its uncorrected formation energy is 1.2 eV/f.u. The value obtained for the size of the total moment is 0.00 μB per cell. The space-group type is P4/mmm.

[3]
Compound: Pr2HfMnS6
Source: the Alexandria database
Functional: GGA-PBE
Structure: relaxed

abc: 6.493 7.180 11.414
angles: 90.00 123.64 90.00
Fractional coordinates of all 20 atoms:
Pr (0.208, 0.099, 0.246)
Pr (0.208, 0.401, 0.746)
Pr (0.792, 0.599, 0.254)
Pr (0.792, 0.901, 0.754)
Hf (0.500, 0.000, 0.000)
Hf (0.500, 0.500, 0.500)
Mn (0.000, 0.000, 0.500)
Mn (0.000, 0.500, 0.000)
S (0.122, 0.185, 0.942)
S (0.122, 0.315, 0.442)
S (0.264, 0.690, 0.940)
S (0.264, 0.810, 0.440)
S (0.371, 0.032, 0.748)
S (0.371, 0.468, 0.248)
S (0.629, 0.532, 0.752)
S (0.629, 0.968, 0.252)
S (0.736, 0.190, 0.560)
S (0.736, 0.310, 0.060)
S (0.878, 0.685, 0.558)
S (0.878, 0.815, 0.058)

Results
Its volume is 443.0 Å³ per cell. Its uncorrected formation energy is -16.3 eV/f.u. The value obtained for the size of the total moment is 10.00 μB per cell. The space-group type is P2_1/c.